# 1
Material: CaSm2Zn
Method: DFT, PBE
State: relaxed

Summary:
Energy above the most stable polymorph in this dataset, eV/atom: 0.159
Formation enthalpy at 0 K, eV/atom: 0.05
Magnetic moment, μB per cell: 0.00
Density of states at the Fermi level, states/eV/f.u.: 4.63

The structure in CIF format:
```
data_CaSm2Zn
_space_group_name_H-M_alt 'F m -3 m'
_space_group_IT_number 225
_space_group_name_Hall '-F 4 2 3'
_cell_length_a 7.732
_cell_length_b 7.732
_cell_length_c 7.732
_cell_angle_alpha 90.00
_cell_angle_beta 90.00
_cell_angle_gamma 90.00
loop_
_atom_site_label
_atom_site_type_symbol
_atom_site_fract_x
_atom_site_fract_y
_atom_site_fract_z
Ca1 Ca 0.000 0.000 0.000
Sm1 Sm 0.250 0.250 0.250
Zn1 Zn 0.000 0.000 0.500
```

---

# 2
Material: BaPrTlZn
Method: DFT, PBE
State: relaxed

Summary:
Formation enthalpy at 0 K, eV/atom: -0.21
Magnetic moment, μB per cell: 0.00
Density of states at the Fermi level, states/eV/f.u.: 3.75

The structure in CIF format:
```
data_BaPrTlZn
_space_group_name_H-M_alt 'F -4 3 m'
_space_group_IT_number 216
_space_group_name_Hall 'F -4 2 3'
_cell_length_a 8.038
_cell_length_b 8.038
_cell_length_c 8.038
_cell_angle_alpha 90.00
_cell_angle_beta 90.00
_cell_angle_gamma 90.00
loop_
_atom_site_label
_atom_site_type_symbol
_atom_site_fract_x
_atom_site_fract_y
_atom_site_fract_z
Ba1 Ba 0.000 0.000 0.000
Pr1 Pr 0.000 0.000 0.500
Tl1 Tl 0.250 0.250 0.250
Zn1 Zn 0.250 0.250 0.750
```

---

# 3
Material: InAgHgSe2
Method: DFT, PBE
State: relaxed

Summary:
Total DFT energy (no corrections), eV/atom: -2.1923
Magnetic moment, μB per cell: 0.00
Density of states at the Fermi level, states/eV/f.u.: 4.53

The structure in CIF format:
```
data_InAgHgSe2
_space_group_name_H-M_alt 'P 4/m m m'
_space_group_IT_number 123
_space_group_name_Hall '-P 4 2'
_cell_length_a 5.308
_cell_length_b 5.308
_cell_length_c 5.492
_cell_angle_alpha 90.00
_cell_angle_beta 90.00
_cell_angle_gamma 90.00
loop_
_atom_site_label
_atom_site_type_symbol
_atom_site_fract_x
_atom_site_fract_y
_atom_site_fract_z
In1 In 0.000 0.000 0.000
Ag1 Ag 0.000 0.000 0.500
Hg1 Hg 0.500 0.500 0.500
Se1 Se 0.000 0.500 0.000
```

---

# 4
Material: Rb2LaScAl
Method: DFT, PBE
State: relaxed

Summary:
Formation enthalpy at 0 K, eV/atom: 0.94
Magnetic moment, μB per cell: 0.14
Density of states at the Fermi level, states/eV/f.u.: 9.95

The structure in CIF format:
```
data_Rb2LaScAl
_space_group_name_H-M_alt 'P 4/m m m'
_space_group_IT_number 123
_space_group_name_Hall '-P 4 2'
_cell_length_a 6.678
_cell_length_b 6.678
_cell_length_c 5.985
_cell_angle_alpha 90.00
_cell_angle_beta 90.00
_cell_angle_gamma 90.00
loop_
_atom_site_label
_atom_site_type_symbol
_atom_site_fract_x
_atom_site_fract_y
_atom_site_fract_z
Rb1 Rb 0.000 0.500 0.000
La1 La 0.000 0.000 0.500
Sc1 Sc 0.500 0.500 0.500
Al1 Al 0.000 0.000 0.000
```

---

# 5
Material: Cd4In2Hg
Method: DFT, PBE
State: relaxed

Summary:
Energy above the most stable polymorph in this dataset, eV/atom: 0.185
Formation enthalpy at 0 K, eV/atom: 0.24
Magnetic moment, μB per cell: 0.00
Density of states at the Fermi level, states/eV/f.u.: 4.20

The structure in CIF format:
```
data_Cd4In2Hg
_space_group_name_H-M_alt 'I 4/m m m'
_space_group_IT_number 139
_space_group_name_Hall '-I 4 2'
_cell_length_a 5.605
_cell_length_b 5.605
_cell_length_c 14.627
_cell_angle_alpha 90.00
_cell_angle_beta 90.00
_cell_angle_gamma 90.00
loop_
_atom_site_label
_atom_site_type_symbol
_atom_site_fract_x
_atom_site_fract_y
_atom_site_fract_z
Cd1 Cd 0.000 0.000 0.195
Cd2 Cd 0.000 0.500 0.000
In1 In 0.000 0.000 0.393
Hg1 Hg 0.000 0.000 0.000
```

---

# 6
Material: HfNiRh3
Method: DFT, PBE
State: relaxed

Summary:
Energy above the most stable polymorph in this dataset, eV/atom: 1.250
Formation enthalpy at 0 K, eV/atom: 1.16
Magnetic moment, μB per cell: 1.70
Density of states at the Fermi level, states/eV/f.u.: 10.90

The structure in CIF format:
```
data_HfNiRh3
_space_group_name_H-M_alt 'P m -3 m'
_space_group_IT_number 221
_space_group_name_Hall '-P 4 2 3'
_cell_length_a 4.728
_cell_length_b 4.728
_cell_length_c 4.728
_cell_angle_alpha 90.00
_cell_angle_beta 90.00
_cell_angle_gamma 90.00
loop_
_atom_site_label
_atom_site_type_symbol
_atom_site_fract_x
_atom_site_fract_y
_atom_site_fract_z
Hf1 Hf 0.000 0.000 0.000
Ni1 Ni 0.500 0.500 0.500
Rh1 Rh 0.000 0.000 0.500
```

---

# 7
Material: SrTl5In
Method: DFT, PBE
State: relaxed

Summary:
Energy above the most stable polymorph in this dataset, eV/atom: 0.000
Formation enthalpy at 0 K, eV/atom: -0.12
Magnetic moment, μB per cell: 0.00
Density of states at the Fermi level, states/eV/f.u.: 3.19

The structure in CIF format:
```
data_SrTl5In
_space_group_name_H-M_alt 'P 4/m m m'
_space_group_IT_number 123
_space_group_name_Hall '-P 4 2'
_cell_length_a 5.284
_cell_length_b 5.284
_cell_length_c 8.008
_cell_angle_alpha 90.00
_cell_angle_beta 90.00
_cell_angle_gamma 90.00
loop_
_atom_site_label
_atom_site_type_symbol
_atom_site_fract_x
_atom_site_fract_y
_atom_site_fract_z
Sr1 Sr 0.000 0.000 0.000
Tl1 Tl 0.000 0.500 0.281
Tl2 Tl 0.500 0.500 0.000
In1 In 0.000 0.000 0.500
```

---

# 8
Material: YFe2Pb
Method: DFT, PBE
State: relaxed

Summary:
Formation enthalpy at 0 K, eV/atom: 0.63
Magnetic moment, μB per cell: 19.89
Density of states at the Fermi level, states/eV/f.u.: 2.90

The structure in CIF format:
```
data_YFe2Pb
_space_group_name_H-M_alt 'I -4 2 d'
_space_group_IT_number 122
_space_group_name_Hall 'I -4 2bw'
_cell_length_a 7.658
_cell_length_b 7.658
_cell_length_c 5.940
_cell_angle_alpha 90.00
_cell_angle_beta 90.00
_cell_angle_gamma 90.00
loop_
_atom_site_label
_atom_site_type_symbol
_atom_site_fract_x
_atom_site_fract_y
_atom_site_fract_z
Y1 Y 0.000 0.000 0.000
Fe1 Fe 0.230 0.250 0.625
Pb1 Pb 0.000 0.000 0.500
```

---

# 9
Material: Sn3Rh5
Method: DFT, PBE
State: relaxed

Summary:
Formation enthalpy at 0 K, eV/atom: -0.40
Magnetic moment, μB per cell: 0.00
Density of states at the Fermi level, states/eV/f.u.: 5.73

The structure in CIF format:
```
data_Sn3Rh5
_space_group_name_H-M_alt 'C m m m'
_space_group_IT_number 65
_space_group_name_Hall '-C 2 2'
_cell_length_a 7.387
_cell_length_b 8.502
_cell_length_c 4.184
_cell_angle_alpha 90.00
_cell_angle_beta 90.00
_cell_angle_gamma 90.00
loop_
_atom_site_label
_atom_site_type_symbol
_atom_site_fract_x
_atom_site_fract_y
_atom_site_fract_z
Sn1 Sn 0.000 0.000 0.000
Sn2 Sn 0.000 0.291 0.500
Rh1 Rh 0.000 0.500 0.000
Rh2 Rh 0.216 0.000 0.500
Rh3 Rh 0.250 0.250 0.000
```

---

# 10
Material: PPb6S2Br3
Method: DFT, PBE
State: relaxed

Summary:
Total DFT energy (no corrections), eV/atom: -3.8441
Magnetic moment, μB per cell: 0.00
Density of states at the Fermi level, states/eV/f.u.: 4.61

The structure in CIF format:
```
data_PPb6S2Br3
_space_group_name_H-M_alt 'C 1 2/m 1'
_space_group_IT_number 12
_cell_length_a 8.013
_cell_length_b 12.197
_cell_length_c 7.706
_cell_angle_alpha 90.00
_cell_angle_beta 105.10
_cell_angle_gamma 90.00
loop_
_space_group_symop_operation_xyz
'x,y,z'
'-x,-y,-z'
'-x,y,-z'
'x,-y,z'
'x+1/2,y+1/2,z'
'-x+1/2,-y+1/2,-z'
'-x+1/2,y+1/2,-z'
'x+1/2,-y+1/2,z'
loop_
_atom_site_label
_atom_site_type_symbol
_atom_site_fract_x
_atom_site_fract_y
_atom_site_fract_z
P1 P 0.000 0.000 0.000
Pb1 Pb 0.232 0.162 0.206
Pb2 Pb 0.249 0.500 0.210
S1 S 0.000 0.336 0.000
Br1 Br 0.000 0.167 0.500
Br2 Br 0.000 0.500 0.500
```

---

# 11
Material: Al2InCuBr8
Method: DFT, PBE
State: relaxed

Summary:
Total DFT energy (no corrections), eV/atom: -3.1374
Magnetic moment, μB per cell: 0.11

The structure in CIF format:
```
data_Al2InCuBr8
_space_group_name_H-M_alt 'P -3 m 1'
_space_group_IT_number 164
_space_group_name_Hall '-P 3 2"'
_cell_length_a 7.4747
_cell_length_b 7.4747
_cell_length_c 8.9836
_cell_angle_alpha 90.00
_cell_angle_beta 90.00
_cell_angle_gamma 120.00
loop_
_atom_site_label
_atom_site_type_symbol
_atom_site_fract_x
_atom_site_fract_y
_atom_site_fract_z
Al1 Al 0.3333 0.6667 0.2246
In1 In 0.0000 0.0000 0.0000
Cu1 Cu 0.0000 0.0000 0.5000
Br1 Br 0.1617 0.3233 0.3093
Br2 Br 0.3333 0.6667 0.9690
```

---

# 12
Material: Al3VSi
Method: DFT, PBE
State: relaxed

Summary:
Energy above the most stable polymorph in this dataset, eV/atom: 0.031
Magnetic moment, μB per cell: 0.00
Density of states at the Fermi level, states/eV/f.u.: 3.37

The structure in CIF format:
```
data_Al3VSi
_space_group_name_H-M_alt 'P m -3 m'
_space_group_IT_number 221
_space_group_name_Hall '-P 4 2 3'
_cell_length_a 4.764
_cell_length_b 4.764
_cell_length_c 4.764
_cell_angle_alpha 90.00
_cell_angle_beta 90.00
_cell_angle_gamma 90.00
loop_
_atom_site_label
_atom_site_type_symbol
_atom_site_fract_x
_atom_site_fract_y
_atom_site_fract_z
Al1 Al 0.000 0.000 0.500
V1 V 0.000 0.000 0.000
Si1 Si 0.500 0.500 0.500
```

---

# 13
Material: LaSmHoTm
Method: DFT, PBE
State: relaxed

Summary:
Energy above the most stable polymorph in this dataset, eV/atom: 0.000
Formation enthalpy at 0 K, eV/atom: 0.10
Magnetic moment, μB per cell: 0.00
Density of states at the Fermi level, states/eV/f.u.: 7.10

The structure in CIF format:
```
data_LaSmHoTm
_space_group_name_H-M_alt 'F -4 3 m'
_space_group_IT_number 216
_space_group_name_Hall 'F -4 2 3'
_cell_length_a 8.114
_cell_length_b 8.114
_cell_length_c 8.114
_cell_angle_alpha 90.00
_cell_angle_beta 90.00
_cell_angle_gamma 90.00
loop_
_atom_site_label
_atom_site_type_symbol
_atom_site_fract_x
_atom_site_fract_y
_atom_site_fract_z
La1 La 0.000 0.000 0.000
Sm1 Sm 0.000 0.000 0.500
Ho1 Ho 0.250 0.250 0.750
Tm1 Tm 0.250 0.250 0.250
```

---

# 14
Material: RbBaB2
Method: DFT, PBE
State: relaxed

Summary:
Energy above the most stable polymorph in this dataset, eV/atom: 0.000
Formation enthalpy at 0 K, eV/atom: 1.51
Magnetic moment, μB per cell: 0.00
Density of states at the Fermi level, states/eV/f.u.: 3.92

The structure in CIF format:
```
data_RbBaB2
_space_group_name_H-M_alt 'F m -3 m'
_space_group_IT_number 225
_space_group_name_Hall '-F 4 2 3'
_cell_length_a 7.474
_cell_length_b 7.474
_cell_length_c 7.474
_cell_angle_alpha 90.00
_cell_angle_beta 90.00
_cell_angle_gamma 90.00
loop_
_atom_site_label
_atom_site_type_symbol
_atom_site_fract_x
_atom_site_fract_y
_atom_site_fract_z
Rb1 Rb 0.000 0.000 0.000
Ba1 Ba 0.000 0.000 0.500
B1 B 0.250 0.250 0.250
```

---

# 15
Material: AsPPbSe2
Method: DFT, PBE
State: relaxed

Summary:
Energy above the most stable polymorph in this dataset, eV/atom: 0.873
Magnetic moment, μB per cell: 0.29
Density of states at the Fermi level, states/eV/f.u.: 6.03

The structure in CIF format:
```
data_AsPPbSe2
_space_group_name_H-M_alt 'P 4/m m m'
_space_group_IT_number 123
_space_group_name_Hall '-P 4 2'
_cell_length_a 5.460
_cell_length_b 5.460
_cell_length_c 5.539
_cell_angle_alpha 90.00
_cell_angle_beta 90.00
_cell_angle_gamma 90.00
loop_
_atom_site_label
_atom_site_type_symbol
_atom_site_fract_x
_atom_site_fract_y
_atom_site_fract_z
As1 As 0.000 0.000 0.000
P1 P 0.500 0.500 0.000
Pb1 Pb 0.000 0.000 0.500
Se1 Se 0.000 0.500 0.500
```

---

# 16
Material: Na2Tl7Bi2
Method: DFT, PBE
State: relaxed

Summary:
Energy above the most stable polymorph in this dataset, eV/atom: 0.006
Formation enthalpy at 0 K, eV/atom: -0.06
Magnetic moment, μB per cell: 0.00
Density of states at the Fermi level, states/eV/f.u.: 4.73

The structure in CIF format:
```
data_Na2Tl7Bi2
_space_group_name_H-M_alt 'C 1 2/m 1'
_space_group_IT_number 12
_cell_length_a 9.945
_cell_length_b 9.578
_cell_length_c 7.840
_cell_angle_alpha 90.00
_cell_angle_beta 108.10
_cell_angle_gamma 90.00
loop_
_space_group_symop_operation_xyz
'x,y,z'
'-x,-y,-z'
'-x,y,-z'
'x,-y,z'
'x+1/2,y+1/2,z'
'-x+1/2,-y+1/2,-z'
'-x+1/2,y+1/2,-z'
'x+1/2,-y+1/2,z'
loop_
_atom_site_label
_atom_site_type_symbol
_atom_site_fract_x
_atom_site_fract_y
_atom_site_fract_z
Na1 Na 0.000 0.224 0.000
Tl1 Tl 0.000 0.000 0.500
Tl2 Tl 0.076 0.500 0.309
Tl3 Tl 0.189 0.283 0.676
Bi1 Bi 0.247 0.000 0.970
```

---

# 17
Material: SrInSb2
Method: DFT, PBE
State: relaxed

Summary:
Total DFT energy (no corrections), eV/atom: -3.5608
Magnetic moment, μB per cell: 0.00
Density of states at the Fermi level, states/eV/f.u.: 2.52

The structure in CIF format:
```
data_SrInSb2
_space_group_name_H-M_alt 'I m m 2'
_space_group_IT_number 44
_cell_length_a 4.068
_cell_length_b 5.363
_cell_length_c 11.172
_cell_angle_alpha 90.00
_cell_angle_beta 90.00
_cell_angle_gamma 90.00
loop_
_space_group_symop_operation_xyz
'x,y,z'
'-x,-y,z'
'-x,y,z'
'x,-y,z'
'x+1/2,y+1/2,z+1/2'
'-x+1/2,-y+1/2,z+1/2'
'-x+1/2,y+1/2,z+1/2'
'x+1/2,-y+1/2,z+1/2'
loop_
_atom_site_label
_atom_site_type_symbol
_atom_site_fract_x
_atom_site_fract_y
_atom_site_fract_z
Sr1 Sr 0.000 0.000 0.000
In1 In 0.000 0.500 0.771
Sb1 Sb 0.000 0.000 0.513
Sb2 Sb 0.000 0.500 0.223
```